DFT (PBE-GGA) results for a relaxed BaCa2Ag2 crystal.

Results
density of states at the Fermi level: 3.5 states/eV/f.u.
raw total energy: -25.36 eV for the cell shown
ρ: 4.434 g/cm³
energy of formation: -0.2103 eV/atom
distance to the lowest polymorph of the same formula: 13 meV/atom
total magnetic moment: 0.00 Bohr magnetons per cell

a b c (Å): 8.5551 8.5551 4.4333
angles (deg): 90.00 90.00 90.00
Space group P4/mbm (No. 127)
One atom of each set of equivalent atoms:
1 Ba 0.0000 0.0000 0.0000 (multiplicity 2)
2 Ca 0.1580 0.3420 0.5000 (multiplicity 4)
3 Ag 0.1211 0.6211 0.0000 (multiplicity 4)